Dy2Ni17 | meta-GGA SCAN | single point on PBEsol structure

Computed properties:
Energy of formation: -0.1891 eV/atom
Total magnetization: 0.49 μB per atom

Structure (POSCAR):
```
Dy2Ni17
1.0
-7.265 1.431 2.707
-2.984 -5.719 -4.985
2.409 -2.006 7.525
Dy Ni
4 34
Cartesian
-1.816 0.358 0.677
-5.449 1.073 2.030
-4.838 -2.171 5.386
-3.002 -4.124 -0.138
-0.127 -3.098 3.630
-7.713 -3.196 1.617
-5.557 -3.621 0.814
-2.283 -2.674 4.434
-0.287 -3.862 1.270
1.204 -1.003 3.763
-1.492 -2.859 -2.493
-3.920 -3.147 2.624
-2.428 -0.288 5.116
-5.124 -2.144 -1.139
-2.073 -4.588 2.600
-1.052 -0.634 3.253
-0.489 -3.436 6.242
-1.900 -2.261 1.835
-1.388 -5.159 4.741
-0.326 -1.239 5.520
-5.767 -1.706 2.647
-6.788 -5.660 1.994
-7.350 -2.859 -0.995
-5.940 -4.034 3.412
-6.452 -1.136 0.507
-7.514 -5.056 -0.273
-5.594 -1.221 8.102
-7.095 -4.098 5.594
-6.806 -0.212 4.316
-2.246 -5.073 -2.855
-0.745 -2.196 -0.347
-1.034 -6.083 0.931
-5.568 -4.419 -1.617
-4.067 -1.542 0.891
-4.356 -5.428 2.169
-2.272 -1.875 6.865
-3.773 -4.752 4.357
-3.484 -0.866 3.079
```